Run A
NiSI2, optimized geometry, DFT PBE; total magnetization = 0.00 μB per atom; SG = Fm-3m (225)
1.0
0.000 3.535 3.535
3.535 0.000 3.535
3.535 3.535 0.000
Ni S I
1 1 2
direct
0.000 0.000 0.000
0.500 0.500 0.500
0.250 0.250 0.250
0.750 0.750 0.750

---

Run B
NiSI2, optimized geometry, DFT PBE; total magnetization = 0.00 μB per atom; SG = I-42d (122)
1.0
-3.461 3.461 4.678
3.461 -3.461 4.678
3.461 3.461 -4.678
Ni S I
2 2 4
direct
0.000 0.000 0.000
0.750 0.250 0.500
0.250 0.750 0.500
0.500 0.500 0.000
0.071 0.625 0.946
0.375 0.321 0.446
0.679 0.125 0.054
0.875 0.929 0.554

---

It turns out run B is the most stable, with the second structure 443 meV per atom higher.

---

Run A
NiTe2SI, optimized geometry, DFT PBE; total magnetization = 0.00 μB per atom; SG = P4/mmm (123)
1.0
5.078 0.000 0.000
0.000 5.078 0.000
0.000 0.000 5.029
Ni Te S I
1 2 1 1
direct
0.000 0.000 0.000
0.000 0.500 0.000
0.500 0.000 0.000
0.500 0.500 0.500
0.000 0.000 0.500

---

Run B
NiTe2SI, optimized geometry, DFT PBE; total magnetization = 0.35 μB per atom; SG = P4/mmm (123)
1.0
5.257 0.000 0.000
0.000 5.257 0.000
0.000 0.000 5.454
Ni Te S I
1 2 1 1
direct
0.000 0.000 0.000
0.000 0.500 0.500
0.500 0.000 0.500
0.500 0.500 0.500
0.500 0.500 0.000

---

It turns out run A is the most stable, with the second structure 411 meV per atom higher.

---

Run A
NiTeSI2, optimized geometry, DFT PBE; total magnetization = 0.25 μB per atom; SG = P4/mmm (123)
1.0
5.354 0.000 0.000
0.000 5.354 0.000
0.000 0.000 5.208
Ni Te S I
1 1 1 2
direct
0.000 0.000 0.000
0.500 0.500 0.000
0.500 0.500 0.500
0.000 0.500 0.500
0.500 0.000 0.500

---

Run B
NiTeSI2, optimized geometry, DFT PBE; total magnetization = 0.00 μB per atom; SG = P4/mmm (123)
1.0
5.110 0.000 0.000
0.000 5.110 0.000
0.000 0.000 5.163
Ni Te S I
1 1 1 2
direct
0.000 0.000 0.000
0.000 0.000 0.500
0.500 0.500 0.500
0.000 0.500 0.000
0.500 0.000 0.000

---

It turns out run B is the most stable, with the second structure 402 meV per atom higher.